Here is a relaxed BaMo2P4O14 crystal from Alexandria via LeMat-Bulk. Energies are from PBE with a Hubbard U.

abc: 7.7472 7.7472 10.0890
angles: 99.85 99.85 89.29
Last column: nearest neighbours and their distance in Å.
Positions (direct):
Ba (0.0000, 0.5000, 0.0000)  8 O 2.83-3.08
Ba (0.5000, 0.0000, 0.5000)  8 O 2.83-3.08
Mo (0.0000, 0.0000, 0.0000)  6 O 2.14-2.17
Mo (0.0000, 0.0000, 0.5000)  6 O 2.14-2.17
Mo (0.4541, 0.5459, 0.7500)  6 O 2.13-2.18
Mo (0.5459, 0.4541, 0.2500)  6 O 2.13-2.18
P (0.1794, 0.2686, 0.2996)  4 O 1.52-1.63
P (0.2533, 0.6336, 0.4430)  4 O 1.51-1.62
P (0.2686, 0.1794, 0.7996)  4 O 1.52-1.63
P (0.3664, 0.7467, 0.0570)  4 O 1.51-1.62
P (0.6336, 0.2533, 0.9430)  4 O 1.51-1.62
P (0.7314, 0.8206, 0.2004)  4 O 1.52-1.63
P (0.7467, 0.3664, 0.5570)  4 O 1.51-1.62
P (0.8206, 0.7314, 0.7004)  4 O 1.52-1.63
O (0.0541, 0.2240, 0.1630)  1 P 1.53
O (0.1369, 0.4757, 0.3425)  2 P 1.62-1.63
O (0.1465, 0.1672, 0.4094)  1 P 1.52
O (0.1599, 0.8009, 0.4110)  1 P 1.53
O (0.1672, 0.1465, 0.9094)  1 P 1.52
O (0.1991, 0.8401, 0.0890)  1 P 1.53
O (0.2240, 0.0541, 0.6630)  1 P 1.53
O (0.2578, 0.3746, 0.7898)  1 P 1.53
O (0.2608, 0.6125, 0.5904)  1 P 1.51
O (0.3622, 0.5640, 0.0993)  1 P 1.55
O (0.3746, 0.2578, 0.2898)  1 P 1.53
O (0.3875, 0.7392, 0.9096)  1 P 1.51
O (0.4360, 0.6378, 0.4007)  1 P 1.55
O (0.4757, 0.1369, 0.8425)  2 P 1.62-1.63
O (0.5243, 0.8631, 0.1575)  2 P 1.62-1.63
O (0.5640, 0.3622, 0.5993)  1 P 1.55
O (0.6125, 0.2608, 0.0904)  1 P 1.51
O (0.6254, 0.7422, 0.7102)  1 P 1.53
O (0.6378, 0.4360, 0.9007)  1 P 1.55
O (0.7392, 0.3875, 0.4096)  1 P 1.51
O (0.7422, 0.6254, 0.2102)  1 P 1.53
O (0.7760, 0.9459, 0.3370)  1 P 1.53
O (0.8009, 0.1599, 0.9110)  1 P 1.53
O (0.8328, 0.8535, 0.0906)  1 P 1.52
O (0.8401, 0.1991, 0.5890)  1 P 1.53
O (0.8535, 0.8328, 0.5906)  1 P 1.52
O (0.8631, 0.5243, 0.6575)  2 P 1.62-1.63
O (0.9459, 0.7760, 0.8370)  1 P 1.53

Results
space-group type = C2/c (15)
density = 3.83 g cm⁻³
VASP energy = -0.271 hartree per atom
M_tot = 12.000 μB/cell